VASP calculation (PBE-GGA) on As2RuW after structural relaxation.

abc: 3.004 3.004 7.937
angles: 90.00 90.00 116.12
Sites, in units of the cell vectors:
As 0.000 0.000 0.244
As 0.000 0.000 0.756
Ru 0.500 0.500 0.000
W 0.500 0.500 0.500

## Properties
- Polymorph energy (0 for the lowest one): 464 meV per atom
- Formation energy from the elements: 177.6 kJ/mol of formula units
- Raw total energy: -29.7 eV per cell
- Symmetry: Cmmm, No. 65
- Crystal system: orthorhombic



VASP calculation (PBE-GGA) on As2RuW after structural relaxation.

abc: 3.048 4.069 5.186
angles: 90.00 90.00 90.00
Sites, in units of the cell vectors:
As 0.000 0.000 0.000
As 0.500 0.000 0.500
Ru 0.000 0.500 0.500
W 0.500 0.500 0.000

## Properties
- Polymorph energy (0 for the lowest one): 471 meV per atom
- Formation energy from the elements: 180.2 kJ/mol of formula units
- Raw total energy: -29.7 eV per cell
- Symmetry: Pmmm, No. 47
- Crystal system: orthorhombic



VASP calculation (PBE-GGA) on As2RuW after structural relaxation.

abc: 2.872 4.085 5.331
angles: 90.00 90.00 90.00
Sites, in units of the cell vectors:
As 0.000 0.000 0.000
As 0.500 0.500 0.347
Ru 0.000 0.000 0.525
W 0.500 0.500 0.823

## Properties
- Polymorph energy (0 for the lowest one): 108 meV per atom
- Formation energy from the elements: 40.1 kJ/mol of formula units
- Raw total energy: -31.1 eV per cell
- Symmetry: Pmm2, No. 25
- Crystal system: orthorhombic



VASP calculation (PBE-GGA) on AsRuW after structural relaxation.

abc: 5.467 5.467 5.467
angles: 148.38 148.38 45.33
Sites, in units of the cell vectors:
As 0.000 0.000 0.000
Ru 0.341 0.341 0.000
W 0.665 0.665 0.000

## Properties
- Polymorph energy (0 for the lowest one): 0 meV per atom
- Formation energy from the elements: 22.3 kJ/mol of formula units
- Raw total energy: -26.6 eV per cell
- Symmetry: I4mm, No. 107
- Crystal system: tetragonal



VASP calculation (PBE-GGA) on As4RuW after structural relaxation.

abc: 5.276 5.276 5.276
angles: 60.00 60.00 60.00
Sites, in units of the cell vectors:
As 0.125 0.125 0.125
As 0.125 0.125 0.624
As 0.125 0.624 0.125
As 0.624 0.125 0.125
Ru 0.750 0.750 0.750
W 0.500 0.500 0.500

## Properties
- Formation energy from the elements: 637.6 kJ/mol of formula units
- Raw total energy: -34.2 eV per cell
- Symmetry: F-43m, No. 216
- Crystal system: cubic



VASP calculation (PBE-GGA) on AsRuW after structural relaxation.

abc: 4.183 4.183 4.183
angles: 60.00 60.00 60.00
Sites, in units of the cell vectors:
As 0.000 0.000 0.000
Ru 0.250 0.250 0.250
W 0.500 0.500 0.500

## Properties
- Polymorph energy (0 for the lowest one): 57 meV per atom
- Formation energy from the elements: 38.7 kJ/mol of formula units
- Raw total energy: -26.5 eV per cell
- Symmetry: F-43m, No. 216
- Crystal system: cubic



Question: What is the formula in the sixth record?
Answer: AsRuW